# 1
Entry from Alexandria: a relaxed structure of Cs5Si4As2 (PBE-GGA).

```
data_Cs5Si4As2
_chemical_formula_sum 'Cs10 Si8 As4'
_space_group_name_H-M_alt 'C 1 2/m 1'
_space_group_IT_number 12
_cell_length_a 10.9122
_cell_length_b 11.9154
_cell_length_c 9.6839
_cell_angle_alpha 90.00
_cell_angle_beta 107.49
_cell_angle_gamma 90.00
loop_
_space_group_symop_operation_xyz
'x,y,z'
'-x,-y,-z'
'-x,y,-z'
'x,-y,z'
'x+1/2,y+1/2,z'
'-x+1/2,-y+1/2,-z'
'-x+1/2,y+1/2,-z'
'x+1/2,-y+1/2,z'
loop_
_atom_site_label
_atom_site_fract_x
_atom_site_fract_y
_atom_site_fract_z
_atom_site_occupancy
Cs1 0.0000 0.0000 0.0000 1
Cs2 0.2129 0.2081 0.6858 1
Si1 0.0313 0.0000 0.3936 1
Si2 0.2302 0.0000 0.3564 1
As1 0.0851 0.5000 0.4393 1
```



# 2
# Cs2SiAs2, relaxed, DFT PBE-GGA
data_Cs2SiAs2
_chemical_formula_sum 'Cs4 Si2 As4'
_space_group_name_H-M_alt 'P 4/m b m'
_space_group_IT_number 127
_space_group_name_Hall '-P 4 2ab'
_cell_length_a 7.1356
_cell_length_b 7.1356
_cell_length_c 6.0714
_cell_angle_alpha 90.00
_cell_angle_beta 90.00
_cell_angle_gamma 90.00
loop_
_atom_site_label
_atom_site_fract_x
_atom_site_fract_y
_atom_site_fract_z
_atom_site_occupancy
Cs1 0.1840 0.3160 0.0000 1
Si1 0.0000 0.0000 0.5000 1
As1 0.1232 0.6232 0.5000 1
# energy above the lowest structure with this stoichiometry: 0.4638 eV/atom



# 3
# CsSi2As2, relaxed, DFT PBE-GGA
data_CsSi2As2
_chemical_formula_sum 'Cs2 Si4 As4'
_space_group_name_H-M_alt 'P 4/m b m'
_space_group_IT_number 127
_space_group_name_Hall '-P 4 2ab'
_cell_length_a 8.6893
_cell_length_b 8.6893
_cell_length_c 3.4786
_cell_angle_alpha 90.00
_cell_angle_beta 90.00
_cell_angle_gamma 90.00
loop_
_atom_site_label
_atom_site_fract_x
_atom_site_fract_y
_atom_site_fract_z
_atom_site_occupancy
Cs1 0.0000 0.0000 0.0000 1
Si1 0.1035 0.3965 0.0000 1
As1 0.1304 0.6304 0.5000 1
# energy above the lowest structure with this stoichiometry: 0.2154 eV/atom



# 4
Entry from Alexandria: a relaxed structure of Cs5Si2As5 (PBE-GGA).

```
data_Cs5Si2As5
_chemical_formula_sum 'Cs10 Si4 As10'
_space_group_name_H-M_alt 'C 1 2/m 1'
_space_group_IT_number 12
_cell_length_a 17.4590
_cell_length_b 3.7906
_cell_length_c 12.5418
_cell_angle_alpha 90.00
_cell_angle_beta 101.68
_cell_angle_gamma 90.00
loop_
_space_group_symop_operation_xyz
'x,y,z'
'-x,-y,-z'
'-x,y,-z'
'x,-y,z'
'x+1/2,y+1/2,z'
'-x+1/2,-y+1/2,-z'
'-x+1/2,y+1/2,-z'
'x+1/2,-y+1/2,z'
loop_
_atom_site_label
_atom_site_fract_x
_atom_site_fract_y
_atom_site_fract_z
_atom_site_occupancy
Cs1 0.0000 0.0000 0.0000 1
Cs2 0.1681 0.0000 0.5843 1
Cs3 0.2093 0.5000 0.1280 1
Si1 0.0154 0.5000 0.3062 1
As1 0.0000 0.5000 0.5000 1
As2 0.0985 0.0000 0.2899 1
As3 0.1086 0.5000 0.8163 1
```



# 5
Entry from Alexandria: a relaxed structure of Cs3SiAs (PBE-GGA).

```
data_Cs3SiAs
_chemical_formula_sum 'Cs3 Si1 As1'
_space_group_name_H-M_alt 'P m -3 m'
_space_group_IT_number 221
_space_group_name_Hall '-P 4 2 3'
_cell_length_a 6.9886
_cell_length_b 6.9886
_cell_length_c 6.9886
_cell_angle_alpha 90.00
_cell_angle_beta 90.00
_cell_angle_gamma 90.00
loop_
_atom_site_label
_atom_site_fract_x
_atom_site_fract_y
_atom_site_fract_z
_atom_site_occupancy
Cs1 0.0000 0.0000 0.5000 1
Si1 0.0000 0.0000 0.0000 1
As1 0.5000 0.5000 0.5000 1
```



# 6
# Cs3SiAs2, relaxed, DFT PBE-GGA
data_Cs3SiAs2
_chemical_formula_sum 'Cs12 Si4 As8'
_space_group_name_H-M_alt 'I b a m'
_space_group_IT_number 72
_space_group_name_Hall '-I 2 2c'
_cell_length_a 9.3178
_cell_length_b 16.4192
_cell_length_c 6.8021
_cell_angle_alpha 90.00
_cell_angle_beta 90.00
_cell_angle_gamma 90.00
loop_
_atom_site_label
_atom_site_fract_x
_atom_site_fract_y
_atom_site_fract_z
_atom_site_occupancy
Cs1 0.0000 0.0000 0.2500 1
Cs2 0.1712 0.3175 0.0000 1
Si1 0.0000 0.5000 0.2500 1
As1 0.1541 0.4363 0.5000 1
# energy above the lowest structure with this stoichiometry: 0.0000 eV/atom



no.,ΔE_f (raw) (eV per formula unit)
1,-0.1
2,-0.1
3,1.2
4,-2.7
5,2.7
6,-1.7